No. 1
{"formula": "GdDyNi", "functional": "GGA-PBE", "state": "relaxed", "de_polymorph_ev_per_atom": 0.000, "e_tot_ev_per_cell": -15.2, "spacegroup": "F-43m", "e_form_ev_per_atom": -0.1402, "cell": [[0.000, 3.359, 3.359], [3.359, 0.000, 3.359], [3.359, 3.359, 0.000]], "species": ["Gd", "Dy", "Ni"], "frac_coords": [[0.000, 0.000, 0.000], [0.500, 0.500, 0.500], [0.750, 0.750, 0.750]]}


No. 2
{"formula": "GdDyNi2", "functional": "GGA-PBE", "state": "relaxed", "e_tot_ev_per_cell": -44.3, "spacegroup": "Pmc2_1", "e_form_ev_per_atom": -0.4414, "cell": [[4.190, 0.000, 0.000], [0.000, 5.430, 0.000], [0.000, 0.000, 7.062]], "species": ["Gd", "Gd", "Dy", "Dy", "Ni", "Ni", "Ni", "Ni"], "frac_coords": [[0.000, 0.120, 0.000], [0.000, 0.880, 0.500], [0.500, 0.380, 0.359], [0.500, 0.620, 0.859], [0.000, 0.375, 0.642], [0.000, 0.625, 0.142], [0.500, 0.125, 0.718], [0.500, 0.875, 0.218]]}